Entry 1:
Sr3Zn2Hg9 | GGA-PBE | optimized geometry

Cell lengths 9.1461, 9.1461, 9.1461 Å; angles 146.52, 116.52, 73.70 degrees
With the nearest neighbours (Å) after each atom.
Fractional positions:
Sr: 0.0000 0.0000 0.0000  12 Hg 3.58-3.60
Sr: 0.2856 0.2856 0.0000  2 Zn 3.42, 12 Hg 3.43-3.73
Sr: 0.7144 0.7144 0.0000  2 Zn 3.42, 12 Hg 3.43-3.73
Zn: 0.3582 0.5000 0.8582  1 Zn 2.73, 4 Hg 2.81-2.97
Zn: 0.6418 0.5000 0.1418  1 Zn 2.73, 4 Hg 2.81-2.97
Hg: 0.0156 0.3652 0.6505  1 Zn 2.81, 3 Hg 2.90-2.98
Hg: 0.1417 0.8491 0.2925  4 Hg 2.98-3.18
Hg: 0.2853 0.6348 0.6505  1 Zn 2.81, 3 Hg 2.90-2.98
Hg: 0.4434 0.1509 0.2925  4 Hg 2.98-3.18
Hg: 0.5000 0.0000 0.5000  4 Zn 2.97, 4 Hg 2.98
Hg: 0.5566 0.8491 0.7075  4 Hg 2.98-3.18
Hg: 0.7147 0.3652 0.3495  1 Zn 2.81, 3 Hg 2.90-2.98
Hg: 0.8583 0.1509 0.7075  4 Hg 2.98-3.18
Hg: 0.9844 0.6348 0.3495  1 Zn 2.81, 3 Hg 2.90-2.98

formation energy from the elements: -0.305 eV/atom
space group: Immm, No. 71



Entry 2:
AlSiPt | GGA-PBE | optimized geometry

Cell lengths 4.4668, 4.4668, 4.4668 Å; angles 133.79, 133.79, 67.41 degrees
With the nearest neighbours (Å) after each atom.
Fractional positions:
Al: 0.0000 0.0000 0.0000  1 Si 2.43, 1 Pt 2.54
Si: 0.3269 0.3269 0.0000  1 Al 2.43, 1 Pt 2.46
Pt: 0.6577 0.6577 0.0000  1 Si 2.46, 5 Al 2.54-2.74

space group: I4mm, No. 107
E_form (uncorrected): -405 meV per atom



Entry 3:
Cd4Ga4Hg | GGA-PBE | optimized geometry

Cell lengths 6.9695, 6.9695, 6.9695 Å; angles 95.77, 95.77, 143.03 degrees
With the nearest neighbours (Å) after each atom.
Fractional positions:
Cd: 0.1693 0.1693 0.3386  4 Cd 3.07-3.17, 6 Ga 3.09-3.18, 2 Hg 3.15
Cd: 0.1693 0.8307 0.0000  4 Cd 3.07-3.17, 6 Ga 3.09-3.18, 2 Hg 3.15
Cd: 0.8307 0.1693 0.0000  4 Cd 3.07-3.17, 6 Ga 3.09-3.18, 2 Hg 3.15
Cd: 0.8307 0.8307 0.6614  4 Cd 3.07-3.17, 6 Ga 3.09-3.18, 2 Hg 3.15
Ga: 0.1550 0.5000 0.6550  5 Ga 2.90-3.01, 6 Cd 3.09-3.18, 1 Hg 3.23
Ga: 0.5000 0.1550 0.6550  5 Ga 2.90-3.01, 6 Cd 3.09-3.18, 1 Hg 3.23
Ga: 0.5000 0.8450 0.3450  5 Ga 2.90-3.01, 6 Cd 3.09-3.18, 1 Hg 3.23
Ga: 0.8450 0.5000 0.3450  5 Ga 2.90-3.01, 6 Cd 3.09-3.18, 1 Hg 3.23
Hg: 0.5000 0.5000 0.0000  8 Cd 3.15, 4 Ga 3.23

formation energy from the elements: 0.051 eV/atom
space group: I4/mmm, No. 139



Entry 4:
ErCd | GGA-PBE | optimized geometry

Cell lengths 3.7133, 3.7133, 3.7133 Å; angles 90.00, 90.00, 90.00 degrees
With the nearest neighbours (Å) after each atom.
Fractional positions:
Er: 0.0000 0.0000 0.0000  8 Cd 3.22
Cd: 0.5000 0.5000 0.5000  8 Er 3.22

formation energy from the elements: -0.316 eV/atom
space group: Pm-3m, No. 221



Entry 5:
SrScSeBr2 | GGA-PBE | optimized geometry

Cell lengths 5.6330, 5.6330, 6.0013 Å; angles 90.00, 90.00, 90.00 degrees
With the nearest neighbours (Å) after each atom.
Fractional positions:
Sr: 0.0000 0.0000 0.0000  4 Br 2.82, 2 Se 3.00
Sc: 0.5000 0.5000 0.5000  4 Se 3.98, 8 Br 4.12
Se: 0.0000 0.0000 0.5000  2 Sr 3.00
Br: 0.0000 0.5000 0.0000  2 Sr 2.82
Br: 0.5000 0.0000 0.0000  2 Sr 2.82

space group: P4/mmm, No. 123
E_form (uncorrected): -751 meV per atom



Entry 6:
Sm2MgGe4Rh3 | GGA-PBE | optimized geometry

Cell lengths 4.2519, 4.2519, 10.4951 Å; angles 90.00, 90.00, 90.00 degrees
With the nearest neighbours (Å) after each atom.
Fractional positions:
Sm: 0.0000 0.5000 0.2357  6 Rh 3.24-3.49, 8 Ge 3.25-3.26, 2 Mg 3.49
Sm: 0.5000 0.0000 0.7643  6 Rh 3.24-3.49, 8 Ge 3.25-3.26, 2 Mg 3.49
Mg: 0.0000 0.0000 0.5000  4 Ge 2.63
Ge: 0.0000 0.0000 0.0000  4 Rh 2.47
Ge: 0.0000 0.5000 0.6473  3 Rh 2.44-2.63, 2 Mg 2.63
Ge: 0.5000 0.0000 0.3527  3 Rh 2.44-2.63, 2 Mg 2.63
Ge: 0.5000 0.5000 0.0000  4 Rh 2.47
Rh: 0.0000 0.5000 0.8795  5 Ge 2.44-2.47
Rh: 0.5000 0.0000 0.1205  5 Ge 2.44-2.47
Rh: 0.5000 0.5000 0.5000  4 Ge 2.63

formation energy from the elements: -0.762 eV/atom
space group: P-4m2, No. 115



Entry 7:
Nd5GeS5 | GGA-PBE | optimized geometry

Cell lengths 7.1440, 7.1440, 8.2624 Å; angles 106.74, 106.74, 47.91 degrees
With the nearest neighbours (Å) after each atom.
Fractional positions:
Nd: 0.0000 0.0000 0.0000  2 Ge 2.90, 4 S 2.93-2.94
Nd: 0.3338 0.3338 0.6623  5 S 2.89-2.93, 1 Ge 2.95
Nd: 0.3389 0.3389 0.1769  5 S 2.83-2.92, 1 Ge 2.92
Nd: 0.6611 0.6611 0.8231  5 S 2.83-2.92, 1 Ge 2.92
Nd: 0.6662 0.6662 0.3377  5 S 2.89-2.93, 1 Ge 2.95
Ge: 0.5000 0.5000 0.0000  6 Nd 2.90-2.95
S: 0.1701 0.1701 0.3314  5 Nd 2.87-2.93
S: 0.1734 0.1734 0.8437  5 Nd 2.91-2.94
S: 0.5000 0.5000 0.5000  4 Nd 2.83-2.89
S: 0.8266 0.8266 0.1563  5 Nd 2.91-2.94
S: 0.8299 0.8299 0.6686  5 Nd 2.87-2.93

space group: C2/m, No. 12
E_form (uncorrected): -1834 meV per atom



Entry 8:
SrMgW | GGA-PBE | optimized geometry

Cell lengths 3.0912, 3.0912, 8.2742 Å; angles 90.00, 90.00, 120.00 degrees
With the nearest neighbours (Å) after each atom.
Fractional positions:
Sr: 0.0000 0.0000 0.0000  6 Sr 3.09, 3 W 3.24
Mg: 0.6667 0.3333 0.6093  3 W 2.94, 6 Mg 3.09
W: 0.3333 0.6667 0.3263  3 Mg 2.94, 6 W 3.09, 3 Sr 3.24

formation energy from the elements: 0.947 eV/atom
space group: P3m1, No. 156



Entry 9:
PrIn2Sb | GGA-PBE | optimized geometry

Cell lengths 4.7562, 4.7562, 4.8511 Å; angles 90.00, 90.00, 90.00 degrees
With the nearest neighbours (Å) after each atom.
Fractional positions:
Pr: 0.0000 0.0000 0.0000  4 Sb 3.36, 8 In 3.40
In: 0.0000 0.5000 0.5000  4 In 3.36, 4 Sb 3.40, 4 Pr 3.40
In: 0.5000 0.0000 0.5000  4 In 3.36, 4 Sb 3.40, 4 Pr 3.40
Sb: 0.5000 0.5000 0.0000  4 Pr 3.36, 8 In 3.40

space group: P4/mmm, No. 123
E_form (uncorrected): -513 meV per atom



Entry 10:
Ni6Ge2P | GGA-PBE | optimized geometry

Cell lengths 6.1250, 6.1250, 3.2808 Å; angles 90.00, 90.00, 120.00 degrees
With the nearest neighbours (Å) after each atom.
Fractional positions:
Ni: 0.0000 0.3855 0.0000  1 P 2.36, 4 Ge 2.51
Ni: 0.0000 0.7502 0.5000  2 P 2.24, 2 Ge 2.34
Ni: 0.2498 0.2498 0.5000  2 P 2.24, 2 Ge 2.34
Ni: 0.3855 0.0000 0.0000  1 P 2.36, 4 Ge 2.51
Ni: 0.6145 0.6145 0.0000  1 P 2.36, 4 Ge 2.51
Ni: 0.7502 0.0000 0.5000  2 P 2.24, 2 Ge 2.34
Ge: 0.3333 0.6667 0.5000  9 Ni 2.34-2.51
Ge: 0.6667 0.3333 0.5000  9 Ni 2.34-2.51
P: 0.0000 0.0000 0.0000  9 Ni 2.24-2.36

formation energy from the elements: -0.405 eV/atom
space group: P-62m, No. 189



Entry 11:
NaMg2ReN4 | GGA-PBE | optimized geometry

Cell lengths 7.1736, 5.7511, 5.4492 Å; angles 90.00, 90.00, 90.00 degrees
With the nearest neighbours (Å) after each atom.
Fractional positions:
Na: 0.0000 0.1675 0.0000  4 N 2.37-2.48
Na: 0.5000 0.8325 0.5000  4 N 2.37-2.48
Mg: 0.2457 0.3266 0.5138  4 N 2.10-2.12
Mg: 0.2543 0.6734 0.0138  4 N 2.10-2.12
Mg: 0.7457 0.6734 0.0138  4 N 2.10-2.12
Mg: 0.7543 0.3266 0.5138  4 N 2.10-2.12
Re: 0.0000 0.8127 0.5208  4 N 1.83-1.85
Re: 0.5000 0.1873 0.0208  4 N 1.83-1.85
N: 0.0000 0.1287 0.4539  1 Re 1.85
N: 0.0000 0.7699 0.8537  1 Re 1.83
N: 0.2068 0.6710 0.3946  1 Re 1.83
N: 0.2932 0.3290 0.8946  1 Re 1.83
N: 0.5000 0.2301 0.3537  1 Re 1.83
N: 0.5000 0.8713 0.9539  1 Re 1.85
N: 0.7068 0.3290 0.8946  1 Re 1.83
N: 0.7932 0.6710 0.3946  1 Re 1.83

space group: Pmn2_1, No. 31
E_form (uncorrected): -594 meV per atom



Entry 12:
Ni2Sb2Au | GGA-PBE | optimized geometry

Cell lengths 8.1194, 8.1194, 8.1194 Å; angles 155.08, 155.08, 35.54 degrees
With the nearest neighbours (Å) after each atom.
Fractional positions:
Ni: 0.2500 0.7500 0.5000  4 Ni 2.48, 4 Sb 2.60
Ni: 0.7500 0.2500 0.5000  4 Ni 2.48, 4 Sb 2.60
Sb: 0.1257 0.1257 0.0000  4 Ni 2.60
Sb: 0.8743 0.8743 0.0000  4 Ni 2.60
Au: 0.5000 0.5000 0.0000  8 Sb 3.15, 4 Au 3.50

space group: I4/mmm, No. 139
E_form (uncorrected): 64 meV per atom



Number 1: spin magnetization 0.000 μB/atom. Number 2: spin magnetization 0.000 μB/atom. Number 3: spin magnetization 0.000 μB/atom. Number 4: spin magnetization 0.000 μB/atom. Number 5: spin magnetization 0.200 μB/atom. Number 6: spin magnetization 0.000 μB/atom. Number 7: spin magnetization 0.000 μB/atom. Number 8: spin magnetization 0.000 μB/atom. Number 9: spin magnetization 0.000 μB/atom. Number 10: spin magnetization 0.000 μB/atom. Number 11: spin magnetization 0.000 μB/atom. Number 12: spin magnetization 0.000 μB/atom.